# 1
First-principles (PBE-GGA) data for a relaxed TlCr2GeRu crystal, as listed in Alexandria.

abc: 5.0585 5.0585 5.0256
angles: 90.00 90.00 90.00
Fractional positions:
Tl 0.0000 0.0000 0.0000
Cr 0.0000 0.5000 0.0000
Cr 0.5000 0.0000 0.0000
Ge 0.5000 0.5000 0.5000
Ru 0.0000 0.0000 0.5000

* formation enthalpy at 0 K: 1.818 eV per atom
* electronic total energy: -5.28 eV per atom
* SG: P4/mmm, No. 123
* crystal system: tetragonal
* size of the total moment: 7.25 μB/f.u.

# 2
First-principles (PBE-GGA) data for a relaxed ZnCrGe2Ru crystal, as listed in Alexandria.

abc: 4.7065 4.7065 4.8480
angles: 90.00 90.00 90.00
Fractional positions:
Zn 0.0000 0.0000 0.0000
Cr 0.5000 0.5000 0.0000
Ge 0.0000 0.5000 0.5000
Ge 0.5000 0.0000 0.5000
Ru 0.0000 0.0000 0.5000

* formation enthalpy at 0 K: 0.513 eV per atom
* electronic total energy: -5.37 eV per atom
* SG: P4/mmm, No. 123
* crystal system: tetragonal
* size of the total moment: 5.18 μB/f.u.

# 3
First-principles (PBE-GGA) data for a relaxed CrGe3S crystal, as listed in Alexandria.

abc: 4.8035 4.8035 4.8035
angles: 90.00 90.00 90.00
Fractional positions:
Cr 0.0000 0.0000 0.0000
Ge 0.0000 0.5000 0.5000
Ge 0.5000 0.0000 0.5000
Ge 0.5000 0.5000 0.0000
S 0.5000 0.5000 0.5000

* formation energy (no corrections): 1229 meV/atom
* electronic total energy: -4.29 eV per atom
* SG: Pm-3m, No. 221
* crystal system: cubic
* distance to the lowest polymorph of the same formula: 83.4 kJ per mole of atoms
* size of the total moment: 0.31 μB/f.u.

# 4
First-principles (PBE-GGA) data for a relaxed CrGeS crystal, as listed in Alexandria.

abc: 7.5356 7.5356 8.8603
angles: 125.13 125.13 48.29
Fractional positions:
Cr 0.0000 0.0000 0.0000
Cr 0.0000 0.0000 0.5000
Cr 0.2344 0.4834 0.5780
Cr 0.4834 0.2344 0.0780
Cr 0.5166 0.7656 0.9220
Cr 0.7656 0.5166 0.4220
Ge 0.0000 0.5000 0.0000
Ge 0.3323 0.5807 0.3610
Ge 0.4193 0.6677 0.1390
Ge 0.5000 0.0000 0.5000
Ge 0.5807 0.3323 0.8610
Ge 0.6677 0.4193 0.6390
S 0.0088 0.3916 0.2614
S 0.1029 0.8971 0.7500
S 0.3916 0.0088 0.7614
S 0.6084 0.9912 0.2386
S 0.8971 0.1029 0.2500
S 0.9912 0.6084 0.7386

* formation energy (no corrections): -40 meV/atom
* electronic total energy: -6.16 eV per atom
* SG: C2/c, No. 15
* crystal system: monoclinic
* size of the total moment: 0.29 μB/f.u.

# 5
First-principles (PBE-GGA) data for a relaxed CrGe2S crystal, as listed in Alexandria.

abc: 6.5025 6.5025 6.5025
angles: 124.11 124.11 83.03
Fractional positions:
Cr 0.0000 0.0000 0.0000
Cr 0.7500 0.2500 0.5000
Ge 0.1328 0.6250 0.0078
Ge 0.3750 0.3828 0.5078
Ge 0.6172 0.1250 0.9922
Ge 0.8750 0.8672 0.4922
S 0.2500 0.7500 0.5000
S 0.5000 0.5000 0.0000

* formation energy (no corrections): 455 meV/atom
* electronic total energy: -5.29 eV per atom
* SG: I-42d, No. 122
* crystal system: tetragonal
* size of the total moment: 3.71 μB/f.u.

# 6
First-principles (PBE-GGA) data for a relaxed CrGe3S crystal, as listed in Alexandria.

abc: 4.6897 4.6897 4.6897
angles: 90.00 90.00 90.00
Fractional positions:
Cr 0.0000 0.0000 0.0000
Ge 0.0000 0.0000 0.5000
Ge 0.0000 0.5000 0.0000
Ge 0.5000 0.0000 0.0000
S 0.5000 0.5000 0.5000

* formation energy (no corrections): 365 meV/atom
* electronic total energy: -5.16 eV per atom
* SG: Pm-3m, No. 221
* crystal system: cubic
* distance to the lowest polymorph of the same formula: 0.0 kJ per mole of atoms
* size of the total moment: 2.00 μB/f.u.

# 7
First-principles (PBE-GGA) data for a relaxed Cr2GeSeS crystal, as listed in Alexandria.

abc: 4.6399 4.6399 5.0637
angles: 90.00 90.00 90.00
Fractional positions:
Cr 0.0000 0.5000 0.0000
Cr 0.5000 0.0000 0.0000
Ge 0.0000 0.0000 0.5000
Se 0.5000 0.5000 0.5000
S 0.0000 0.0000 0.0000

* formation energy (no corrections): 410 meV/atom
* electronic total energy: -5.89 eV per atom
* SG: P4/mmm, No. 123
* crystal system: tetragonal
* size of the total moment: 8.90 μB/f.u.

# 8
First-principles (PBE-GGA) data for a relaxed Tl2CrGeS4 crystal, as listed in Alexandria.

abc: 6.1630 6.1630 6.7166
angles: 116.99 116.99 81.27
Fractional positions:
Tl 0.0000 0.0000 0.0000
Tl 0.7309 0.2691 0.5000
Cr 0.5101 0.4899 0.0000
Ge 0.2213 0.7787 0.5000
S 0.2589 0.4538 0.6144
S 0.4604 0.1192 0.9373
S 0.5462 0.7411 0.3856
S 0.8808 0.5396 0.0627

* formation energy (no corrections): -364 meV/atom
* electronic total energy: -4.80 eV per atom
* SG: C2, No. 5
* crystal system: monoclinic
* size of the total moment: 2.00 μB/f.u.

Which of these has the lowest size of the total moment? CrGeS

Which value of electronic total energy does entry 7 give? -5.89 eV per atom